Computed, not measured: AlCd3Au4 after structural relaxation at the PBE level of DFT.

Calculated values
M_tot (μB per formula unit): 0.0
SG: P4/mmm, No. 123
Energy of formation (eV/atom): -0.22
Density of states at the Fermi level (states/eV per cell): 1.12

a = 3.2088 Å, b = 3.2088 Å, c = 14.5385 Å
α = 90.00°, β = 90.00°, γ = 90.00°
Fractional positions:
Au1 0.0000 0.0000 0.8952
Au2 0.0000 0.0000 0.6296
Au3 0.0000 0.0000 0.1048
Au4 0.0000 0.0000 0.3704
Cd1 0.5000 0.5000 0.7580
Cd2 0.5000 0.5000 0.5000
Cd3 0.5000 0.5000 0.2420
Al1 0.5000 0.5000 0.0000